(1)
DFT (PBE) results for a geometry-optimized V2CdI structure.

Output
uncorrected formation energy = 0.95 eV per atom
space group = I-42d (122)
Fermi-level density of states = 24.45 states/eV per cell
relative energy among the computed polymorphs = 0.48 eV per formula unit

a b c (Å): 4.6735 4.6735 18.5521
angles (deg): 90.00 90.00 90.00
Closest atoms and distances in Å follow each position.
Fractional positions:
V 0.2256 0.2500 0.1250  2 I 2.80, 2 Cd 2.90
V 0.2500 0.7256 0.3750  2 I 2.80, 2 Cd 2.90
V 0.2500 0.7744 0.8750  2 I 2.80, 2 Cd 2.90
V 0.2744 0.2500 0.6250  2 I 2.80, 2 Cd 2.90
V 0.7256 0.7500 0.6250  2 I 2.80, 2 Cd 2.90
V 0.7500 0.2256 0.8750  2 I 2.80, 2 Cd 2.90
V 0.7500 0.2744 0.3750  2 I 2.80, 2 Cd 2.90
V 0.7744 0.7500 0.1250  2 I 2.80, 2 Cd 2.90
Cd 0.0000 0.0000 0.5000  4 V 2.90
Cd 0.0000 0.5000 0.7500  4 V 2.90
Cd 0.5000 0.0000 0.2500  4 V 2.90
Cd 0.5000 0.5000 0.0000  4 V 2.90
I 0.0000 0.0000 0.0000  4 V 2.80
I 0.0000 0.5000 0.2500  4 V 2.80
I 0.5000 0.0000 0.7500  4 V 2.80
I 0.5000 0.5000 0.5000  4 V 2.80

(2)
DFT (PBE) results for a geometry-optimized SrTi3Cu structure.

Output
DFT formation energy = 2060 meV per atom
space group = Pm-3m (221)
Fermi-level density of states = 6.01 states/eV per cell
relative energy among the computed polymorphs = 6.91 eV per formula unit

a b c (Å): 4.7169 4.7169 4.7169
angles (deg): 90.00 90.00 90.00
Closest atoms and distances in Å follow each position.
Fractional positions:
Sr 0.0000 0.0000 0.0000  6 Ti 2.36
Ti 0.0000 0.0000 0.5000  2 Sr 2.36
Ti 0.0000 0.5000 0.0000  2 Sr 2.36
Ti 0.5000 0.0000 0.0000  2 Sr 2.36
Cu 0.5000 0.5000 0.5000  12 Ti 3.34

(3)
DFT (PBE) results for a geometry-optimized DyInPt structure.

Output
DFT formation energy = -753 meV per atom
space group = I4mm (107)
Fermi-level density of states = 3.60 states/eV per cell

a b c (Å): 3.4242 3.4242 11.3078
angles (deg): 90.00 90.00 90.00
Closest atoms and distances in Å follow each position.
Fractional positions:
Dy 0.0000 0.0000 0.0000  4 Pt 2.95
Dy 0.5000 0.5000 0.5000  4 Pt 2.95
In 0.0000 0.0000 0.7053  4 Pt 2.93
In 0.5000 0.5000 0.2053  4 Pt 2.93
Pt 0.0000 0.0000 0.3507  4 In 2.93, 4 Dy 2.95
Pt 0.5000 0.5000 0.8507  4 In 2.93, 4 Dy 2.95

(4)
DFT (PBE) results for a geometry-optimized TmZr3C structure.

Output
DFT formation energy = -190 meV per atom
space group = Pm-3m (221)
Fermi-level density of states = 5.22 states/eV per cell

a b c (Å): 4.6980 4.6980 4.6980
angles (deg): 90.00 90.00 90.00
Closest atoms and distances in Å follow each position.
Fractional positions:
Tm 0.0000 0.0000 0.0000  12 Zr 3.32
Zr 0.0000 0.5000 0.5000  2 C 2.35
Zr 0.5000 0.0000 0.5000  2 C 2.35
Zr 0.5000 0.5000 0.0000  2 C 2.35
C 0.5000 0.5000 0.5000  6 Zr 2.35

(5)
DFT (PBE) results for a geometry-optimized Sm2Be2Si3 structure.

Output
uncorrected formation energy = -0.49 eV per atom
space group = Cmcm (63)
Fermi-level density of states = 2.34 states/eV per cell

a b c (Å): 9.3919 9.3919 6.7339
angles (deg): 90.00 90.00 155.52
Closest atoms and distances in Å follow each position.
Fractional positions:
Sm 0.0469 0.9531 0.7500  9 Si 2.93-3.05, 4 Be 3.11
Sm 0.1700 0.8300 0.2500  6 Si 3.02-3.06, 6 Be 3.06-3.22
Sm 0.8300 0.1700 0.7500  6 Si 3.02-3.06, 6 Be 3.06-3.22
Sm 0.9531 0.0469 0.2500  9 Si 2.93-3.05, 4 Be 3.11
Be 0.3360 0.6640 0.0944  1 Be 2.10, 1 Si 2.21
Be 0.3360 0.6640 0.4056  1 Be 2.10, 1 Si 2.21
Be 0.6640 0.3360 0.5944  1 Be 2.10, 1 Si 2.21
Be 0.6640 0.3360 0.9056  1 Be 2.10, 1 Si 2.21
Si 0.2063 0.7937 0.7500  4 Be 2.38
Si 0.4390 0.5610 0.5751  1 Be 2.21, 2 Si 2.36-2.46
Si 0.4390 0.5610 0.9249  1 Be 2.21, 2 Si 2.36-2.46
Si 0.5610 0.4390 0.0751  1 Be 2.21, 2 Si 2.36-2.46
Si 0.5610 0.4390 0.4249  1 Be 2.21, 2 Si 2.36-2.46
Si 0.7937 0.2063 0.2500  4 Be 2.38

(6)
DFT (PBE) results for a geometry-optimized Na5Ga2Sb4 structure.

Output
uncorrected formation energy = -0.22 eV per atom
space group = Immm (71)
Fermi-level density of states = 1.18 states/eV per cell

a b c (Å): 10.6154 10.6154 10.6154
angles (deg): 160.82 125.51 58.31
Closest atoms and distances in Å follow each position.
Fractional positions:
Na 0.0000 0.0000 0.0000  4 Sb 3.22, 2 Na 3.54
Na 0.0736 0.3336 0.7400  4 Sb 3.10-3.23
Na 0.4064 0.6664 0.7400  4 Sb 3.10-3.23
Na 0.5936 0.3336 0.2600  4 Sb 3.10-3.23
Na 0.9264 0.6664 0.2600  4 Sb 3.10-3.23
Ga 0.4307 0.9307 0.5000  1 Ga 2.57, 1 Sb 2.75
Ga 0.5693 0.0693 0.5000  1 Ga 2.57, 1 Sb 2.75
Sb 0.2763 0.5000 0.7763  4 Ga 3.08, 4 Na 3.10-3.22
Sb 0.2824 0.7824 0.5000  1 Ga 2.75
Sb 0.7176 0.2176 0.5000  1 Ga 2.75
Sb 0.7237 0.5000 0.2237  4 Ga 3.08, 4 Na 3.10-3.22